(1)
KLiAsAu (PBE-GGA, optimized geometry); E = -0.1081 hartree per atom; symmetry = F-43m
1.0
-2.6257 0.0901 4.1191
-3.4548 3.3982 0.6208
-4.7173 -1.2689 -0.0818
As Au K Li
1 1 1 1
direct
0.0000 0.0000 0.0000
0.7500 0.7500 0.7500
0.2500 0.2500 0.2500
0.5000 0.5000 0.5000



(2)
K4AsAu2N (PBE-GGA, optimized geometry); E = -0.1169 hartree per atom; symmetry = Amm2
1.0
6.9374 0.0000 0.0000
0.0000 4.8888 3.2917
0.0000 -4.8888 3.2917
As Au K N
1 2 4 1
direct
0.0000 0.2849 0.2849
0.2810 0.5316 0.5316
0.7190 0.5316 0.5316
0.0000 0.6747 0.0190
0.5000 0.9326 0.2766
0.0000 0.0190 0.6747
0.5000 0.2766 0.9326
0.5000 0.7490 0.7490



Look up the E of the first one. -0.1081 hartree per atom